Record 1
Computed, not measured: crystalline CdSnHg4 at its relaxed geometry at the GGA-PBE level of DFT.

Summary:
- polymorph energy (0 for the lowest one) (meV/atom) = 0
- calculated volume (Å³/atom) = 26.2

extended XYZ file:
```
12
Lattice="4.4029 0.3765 0.0000 -0.9626 11.2751 0.0000 0.0000 0.0000 6.2796" Properties=species:S:1:pos:R:3 pbc="T T T"
Cd 0.2349 10.2307 1.5699
Cd 3.2054 1.4209 4.7097
Sn 0.5141 6.9654 1.5699
Sn 2.9262 4.6862 4.7097
Hg 2.8988 5.0076 1.5699
Hg 0.5415 6.6440 4.7097
Hg 3.2263 1.1720 1.5699
Hg 0.2140 10.4795 4.7097
Hg 2.5767 8.7831 6.2192
Hg 0.8636 2.8685 3.0794
Hg 2.5767 8.7831 3.2002
Hg 0.8636 2.8685 0.0604
```

***

Record 2
Computed, not measured: crystalline Cd8SnHg6 at its relaxed geometry at the GGA-PBE level of DFT.

Summary:
- polymorph energy (0 for the lowest one) (meV/atom) = 13
- calculated volume (Å³/atom) = 26.7

extended XYZ file:
```
15
Lattice="-3.8412 0.2197 -6.7558 3.0900 -7.1163 0.5044 -5.4007 0.4167 5.5770" Properties=species:S:1:pos:R:3 pbc="T T T"
Cd -4.8513 -2.1136 3.8678
Cd -1.3130 -5.1974 3.5568
Cd -6.4332 0.0345 -0.0063
Cd -4.0267 -4.2414 -0.4414
Cd -2.1252 -2.2385 -0.2330
Cd 0.2813 -6.5144 -0.6681
Cd -4.8389 -1.2825 -4.2312
Cd -1.3006 -4.3663 -4.5422
Sn 0.0000 0.0000 0.0000
Hg -5.9966 -2.3837 -1.6675
Hg -3.8947 -0.5991 1.5037
Hg -2.1169 -1.8003 -3.1728
Hg -4.0351 -4.6795 2.4984
Hg -2.2572 -5.8808 -2.1781
Hg -0.1553 -4.0962 0.9931
```

***

Record 3
Computed, not measured: crystalline Cd12Sn3Hg at its relaxed geometry at the GGA-PBE level of DFT.

Summary:
- total energy (eV/atom) = -1.42
- calculated volume (Å³/atom) = 23.9

extended XYZ file:
```
16
Lattice="-0.7784 -0.3634 -4.4564 0.3482 -4.5146 0.3073 -18.2452 -1.1838 3.2836" Properties=species:S:1:pos:R:3 pbc="T T T"
Cd -0.2151 -2.4390 -2.0745
Cd -4.7447 -2.7329 -1.2593
Cd -9.3377 -3.0309 -0.4327
Cd -13.9307 -3.3289 0.3939
Cd -2.6155 -0.3261 -1.8275
Cd -7.2137 -0.6245 -1.0000
Cd -11.8100 -0.9227 -0.1728
Cd -16.4082 -1.2211 0.6548
Cd -2.0521 -2.4017 0.5543
Cd -6.6503 -2.7001 1.3819
Cd -11.2466 -2.9983 2.2091
Cd -15.8448 -3.2967 3.0366
Sn -4.5309 -0.2940 0.8154
Sn -9.1226 -0.5919 1.6418
Sn -13.7143 -0.8898 2.4682
Hg 0.0000 0.0000 0.0000
```

***

Record 4
Computed, not measured: crystalline Cd2SnHg3 at its relaxed geometry at the GGA-PBE level of DFT.

Summary:
- polymorph energy (0 for the lowest one) (meV/atom) = 0
- calculated volume (Å³/atom) = 25.8

extended XYZ file:
```
12
Lattice="-5.1592 -4.1387 1.1670 4.3762 -5.1756 0.5535 0.8557 0.9406 6.6804" Properties=species:S:1:pos:R:3 pbc="T T T"
Cd 0.9773 -5.8215 2.5630
Cd 3.7970 -4.1693 1.5616
Cd 1.4349 -0.0657 5.6723
Cd -0.9045 -2.5522 5.8379
Sn 1.3625 -2.9233 3.7012
Sn -1.2898 -5.4504 4.6998
Hg -2.0689 -5.2990 1.6707
Hg -3.2693 -3.2136 3.7597
Hg 2.1416 -3.0747 6.7302
Hg 0.8966 -6.2258 6.7302
Hg -0.8239 -2.1479 1.6707
Hg 3.3420 -5.1601 4.6412
```

***

Record 5
Computed, not measured: crystalline Cd7SnHg4 at its relaxed geometry at the GGA-PBE level of DFT.

Summary:
- polymorph energy (0 for the lowest one) (meV/atom) = 0
- calculated volume (Å³/atom) = 25.8

extended XYZ file:
```
12
Lattice="-2.6265 3.2122 -4.5062 5.0728 -0.1739 -7.2442 -5.1311 -3.1411 -3.4118" Properties=species:S:1:pos:R:3 pbc="T T T"
Cd 0.4968 0.6703 -12.3021
Cd -3.1816 -0.7731 -2.8601
Cd 2.2528 -0.3390 -5.7182
Cd -4.9376 0.2362 -9.4440
Cd -0.9534 -1.1446 -8.5871
Cd -1.3133 1.6061 -2.2531
Cd -1.7314 1.0418 -6.5751
Sn 0.0000 0.0000 0.0000
Hg -3.6772 -1.2697 -7.0886
Hg 0.9924 1.1669 -8.0736
Hg -2.2095 0.4600 -10.8746
Hg -0.4753 -0.5628 -4.2876
```

***

Record 6
Computed, not measured: crystalline CdSnHg4 at its relaxed geometry at the GGA-PBE level of DFT.

Summary:
- polymorph energy (0 for the lowest one) (meV/atom) = 101
- calculated volume (Å³/atom) = 26.5

extended XYZ file:
```
6
Lattice="6.0800 0.0000 0.0000 3.0400 5.2654 0.0000 3.0400 1.7551 4.9643" Properties=species:S:1:pos:R:3 pbc="T T T"
Cd 0.0000 0.0000 0.0000
Hg 6.0800 3.5103 0.6220
Hg 6.0800 1.7566 3.1022
Hg 7.5988 4.3872 3.1022
Hg 4.5612 4.3872 3.1022
Sn 3.0400 1.7551 1.2411
```

***

Record 7
Computed, not measured: crystalline Cd2SnHg5 at its relaxed geometry at the GGA-PBE level of DFT.

Summary:
- polymorph energy (0 for the lowest one) (meV/atom) = 0
- calculated volume (Å³/atom) = 26.0

extended XYZ file:
```
8
Lattice="5.1554 1.3441 -3.2345 -2.2555 6.9638 -3.8661 -0.5580 -2.3744 7.2603" Properties=species:S:1:pos:R:3 pbc="T T T"
Cd -0.5960 4.6041 -0.2730
Cd 3.1028 1.7924 0.0423
Sn 2.2570 6.4609 -5.5189
Hg 0.5232 1.1207 1.6549
Hg -0.8832 3.4141 3.3540
Hg 2.8251 0.6092 3.6653
Hg 1.9771 5.2760 -1.8954
Hg 0.8083 2.3093 -1.9735
```

***

Record 8
Computed, not measured: crystalline CdSn4Hg2 at its relaxed geometry at the GGA-PBE level of DFT.

Summary:
- total energy (eV/atom) = -2.11
- calculated volume (Å³/atom) = 32.6

extended XYZ file:
```
7
Lattice="5.5348 0.0000 0.0000 0.0000 5.5348 0.0000 2.7674 2.7674 7.4393" Properties=species:S:1:pos:R:3 pbc="T T T"
Cd 0.0000 0.0000 0.0000
Hg 5.5348 5.5348 5.8063
Hg 2.7674 2.7674 1.6330
Sn 5.5348 5.5348 2.9881
Sn 2.7674 2.7674 4.4512
Sn 0.0000 2.7674 0.0000
Sn 2.7674 0.0000 0.0000
```

***

Record 9
Computed, not measured: crystalline Cd3Sn3Hg at its relaxed geometry at the GGA-PBE level of DFT.

Summary:
- polymorph energy (0 for the lowest one) (meV/atom) = 314
- calculated volume (Å³/atom) = 37.3

extended XYZ file:
```
14
Lattice="8.0493 0.0000 0.0000 0.0000 8.0493 0.0000 0.0000 0.0000 8.0493" Properties=species:S:1:pos:R:3 pbc="T T T"
Cd 2.0123 0.0000 4.0246
Cd 0.0000 4.0246 2.0123
Cd 4.0246 6.0370 0.0000
Cd 6.0370 0.0000 4.0246
Cd 0.0000 4.0246 6.0370
Cd 4.0246 2.0123 0.0000
Hg 4.0246 4.0246 4.0246
Hg 0.0000 0.0000 0.0000
Sn 0.0000 2.0123 4.0246
Sn 0.0000 6.0370 4.0246
Sn 4.0246 0.0000 6.0370
Sn 6.0370 4.0246 0.0000
Sn 4.0246 0.0000 2.0123
Sn 2.0123 4.0246 0.0000
```

***

Record 10
Computed, not measured: crystalline Cd4Sn3Hg4 at its relaxed geometry at the GGA-PBE level of DFT.

Summary:
- polymorph energy (0 for the lowest one) (meV/atom) = 0
- calculated volume (Å³/atom) = 25.5

extended XYZ file:
```
11
Lattice="3.1083 0.0617 -0.5210 0.0695 3.4073 0.4562 -4.3646 -2.4830 26.9366" Properties=species:S:1:pos:R:3 pbc="T T T"
Cd 1.9696 1.4077 2.2851
Cd -3.1565 -0.4216 24.5867
Cd -1.5530 -1.0527 16.9820
Cd 0.3662 2.0387 9.8898
Sn 1.3676 0.7232 7.1783
Sn -2.5545 0.2628 19.6935
Sn 3.1083 0.0617 -0.5210
Hg 0.7084 2.7425 4.9045
Hg -0.6901 1.0762 14.8237
Hg -0.4968 -0.0901 12.0481
Hg -1.8952 -1.7565 21.9673
```

***

Record 11
Computed, not measured: crystalline Cd5Sn4Hg at its relaxed geometry at the GGA-PBE level of DFT.

Summary:
- total energy (eV/atom) = -2.04
- calculated volume (Å³/atom) = 25.2

extended XYZ file:
```
10
Lattice="3.3198 0.0000 0.0000 0.0000 3.3198 0.0000 0.0000 0.0000 22.8823" Properties=species:S:1:pos:R:3 pbc="T T T"
Cd 1.6599 1.6599 2.1371
Cd 1.6599 1.6599 6.7842
Cd 1.6599 1.6599 11.4411
Cd 1.6599 1.6599 16.0981
Cd 1.6599 1.6599 20.7452
Sn 0.0000 0.0000 4.4668
Sn 0.0000 0.0000 9.1218
Sn 0.0000 0.0000 13.7605
Sn 0.0000 0.0000 18.4155
Hg 0.0000 0.0000 0.0000
```

***

Record 12
Computed, not measured: crystalline Cd7SnHg4 at its relaxed geometry at the GGA-PBE level of DFT.

Summary:
- polymorph energy (0 for the lowest one) (meV/atom) = 34
- calculated volume (Å³/atom) = 27.1

extended XYZ file:
```
12
Lattice="-1.5299 -2.1142 3.2578 4.1213 0.1419 -0.6467 1.2926 17.7661 12.1363" Properties=species:S:1:pos:R:3 pbc="T T T"
Cd 0.0000 0.0000 0.0000
Cd 2.7736 6.7571 5.6875
Cd 1.1104 9.0367 9.0600
Cd 2.4542 2.3666 2.6883
Cd 1.4299 13.4272 12.0592
Cd 0.9689 13.3176 9.0975
Cd 0.3236 4.4485 3.0388
Sn 0.6463 8.8830 6.0681
Hg 3.4214 15.6608 11.7697
Hg 0.4626 0.1330 2.9777
Hg 3.1002 11.2463 8.7542
Hg 0.7838 4.5475 5.9933
```